Run w
A plane-wave DFT calculation with SCAN was carried out for a PBEsol-optimized structure of Cd4Pb.

Cell: 5.5095 5.5095 5.5095 Å, 99.85 99.85 131.13°
Last column: nearest neighbours and their distance in Å.
Fractional positions:
Cd: 0.0874 0.6941 0.7815  9 Cd 3.02-3.34, 3 Pb 3.21-3.23
Cd: 0.3059 0.0874 0.3933  9 Cd 3.02-3.34, 3 Pb 3.21-3.23
Cd: 0.6941 0.9126 0.6067  9 Cd 3.02-3.34, 3 Pb 3.21-3.23
Cd: 0.9126 0.3059 0.2185  9 Cd 3.02-3.34, 3 Pb 3.21-3.23
Pb: 0.5000 0.5000 0.0000  12 Cd 3.21-3.23

* D(E_F): 1.7 states/eV/f.u.
* symmetry: No. 87
* total magnetization: 0.00 μB per formula unit

***

Run x
A plane-wave DFT calculation with SCAN was carried out for a PBEsol-optimized structure of Cd4Pb.

Cell: 7.5474 7.5474 7.5474 Å, 148.05 148.05 45.80°
Last column: nearest neighbours and their distance in Å.
Fractional positions:
Cd: 0.1010 0.1010 0.0000  5 Cd 2.81-2.93
Cd: 0.2500 0.7500 0.5000  8 Cd 2.93-2.94
Cd: 0.7500 0.2500 0.5000  8 Cd 2.93-2.94
Cd: 0.8990 0.8990 0.0000  5 Cd 2.81-2.93
Pb: 0.5000 0.5000 0.0000  8 Cd 3.26

* D(E_F): 1.9 states/eV/f.u.
* symmetry: No. 139
* total magnetization: 0.00 μB per formula unit

***

Run y
A plane-wave DFT calculation with SCAN was carried out for a PBEsol-optimized structure of Cd4Pb.

Cell: 8.5696 8.5696 8.5696 Å, 109.47 109.47 109.47°
Last column: nearest neighbours and their distance in Å.
Fractional positions:
Cd: 0.0000 0.0000 0.7783  6 Cd 2.82-3.10, 1 Pb 3.08
Cd: 0.0000 0.3490 0.3490  7 Cd 2.82-2.99
Cd: 0.0000 0.6510 0.6510  7 Cd 2.82-2.99
Cd: 0.0000 0.7783 0.0000  6 Cd 2.82-3.10, 1 Pb 3.08
Cd: 0.2217 0.2217 0.2217  6 Cd 2.82-3.10, 1 Pb 3.08
Cd: 0.2500 0.5000 0.7500  4 Cd 2.89
Cd: 0.2500 0.7500 0.5000  4 Cd 2.89
Cd: 0.3490 0.0000 0.3490  7 Cd 2.82-2.99
Cd: 0.3490 0.3490 0.0000  7 Cd 2.82-2.99
Cd: 0.5000 0.2500 0.7500  4 Cd 2.89
Cd: 0.5000 0.7500 0.2500  4 Cd 2.89
Cd: 0.6510 0.0000 0.6510  7 Cd 2.82-2.99
Cd: 0.6510 0.6510 0.0000  7 Cd 2.82-2.99
Cd: 0.7500 0.2500 0.5000  4 Cd 2.89
Cd: 0.7500 0.5000 0.2500  4 Cd 2.89
Cd: 0.7783 0.0000 0.0000  6 Cd 2.82-3.10, 1 Pb 3.08
Pb: 0.0000 0.0000 0.4194  4 Cd 3.08-3.24
Pb: 0.0000 0.4194 0.0000  4 Cd 3.08-3.24
Pb: 0.4194 0.0000 0.0000  4 Cd 3.08-3.24
Pb: 0.5806 0.5806 0.5806  4 Cd 3.08-3.24

* D(E_F): 1.8 states/eV/f.u.
* symmetry: No. 217
* total magnetization: 0.00 μB per formula unit

***

What should be chosen as the least stable of them? Choose run y.

***

Run w
A plane-wave DFT calculation with SCAN was carried out for a PBEsol-optimized structure of Cd4Pb5.

Cell: 7.3669 7.3669 7.3669 Å, 96.27 96.27 141.40°
Last column: nearest neighbours and their distance in Å.
Fractional positions:
Cd: 0.0000 0.3476 0.3476  5 Cd 3.00-3.23, 2 Pb 3.24
Cd: 0.0000 0.6524 0.6524  5 Cd 3.00-3.23, 2 Pb 3.24
Cd: 0.3476 0.0000 0.3476  5 Cd 3.00-3.23, 2 Pb 3.24
Cd: 0.6524 0.0000 0.6524  5 Cd 3.00-3.23, 2 Pb 3.24
Pb: 0.0000 0.0000 0.0000  8 Pb 3.40, 4 Cd 3.42
Pb: 0.3290 0.3290 0.6579  6 Cd 3.24-3.43, 6 Pb 3.28-3.40
Pb: 0.3290 0.6710 0.0000  6 Cd 3.24-3.43, 6 Pb 3.28-3.40
Pb: 0.6710 0.3290 0.0000  6 Cd 3.24-3.43, 6 Pb 3.28-3.40
Pb: 0.6710 0.6710 0.3421  6 Cd 3.24-3.43, 6 Pb 3.28-3.40

* D(E_F): 3.8 states/eV/f.u.
* symmetry: No. 139
* total magnetization: 0.00 μB per formula unit

***

Run x
A plane-wave DFT calculation with SCAN was carried out for a PBEsol-optimized structure of Cd4Pb5.

Cell: 9.3324 9.3324 6.3280 Å, 90.00 90.00 120.00°
Last column: nearest neighbours and their distance in Å.
Fractional positions:
Cd: 0.0000 0.0000 0.0000  2 Cd 3.16, 6 Pb 3.20
Cd: 0.0000 0.0000 0.5000  2 Cd 3.16, 6 Pb 3.20
Cd: 0.0000 0.3634 0.2500  9 Pb 3.13-3.37
Cd: 0.0000 0.6366 0.7500  9 Pb 3.13-3.37
Cd: 0.3634 0.0000 0.2500  9 Pb 3.13-3.37
Cd: 0.3634 0.3634 0.7500  9 Pb 3.13-3.37
Cd: 0.6366 0.0000 0.7500  9 Pb 3.13-3.37
Cd: 0.6366 0.6366 0.2500  9 Pb 3.13-3.37
Pb: 0.0000 0.2986 0.7500  7 Cd 3.13-3.22
Pb: 0.0000 0.7014 0.2500  7 Cd 3.13-3.22
Pb: 0.2986 0.0000 0.7500  7 Cd 3.13-3.22
Pb: 0.2986 0.2986 0.2500  7 Cd 3.13-3.22
Pb: 0.3333 0.6667 0.0000  2 Pb 3.16, 6 Cd 3.37
Pb: 0.3333 0.6667 0.5000  2 Pb 3.16, 6 Cd 3.37
Pb: 0.6667 0.3333 0.0000  2 Pb 3.16, 6 Cd 3.37
Pb: 0.6667 0.3333 0.5000  2 Pb 3.16, 6 Cd 3.37
Pb: 0.7014 0.0000 0.2500  7 Cd 3.13-3.22
Pb: 0.7014 0.7014 0.7500  7 Cd 3.13-3.22

* D(E_F): 4.8 states/eV/f.u.
* symmetry: No. 193
* total magnetization: 0.00 μB per formula unit

***

What should be chosen as the least stable of them? Choose run x.

***

Run w
A plane-wave DFT calculation with SCAN was carried out for a PBEsol-optimized structure of Cd5Pb.

Cell: 3.2091 3.2091 13.0201 Å, 90.00 90.00 90.00°
Last column: nearest neighbours and their distance in Å.
Fractional positions:
Cd: 0.0000 0.0000 0.0000  12 Cd 3.06-3.21
Cd: 0.0000 0.0000 0.3133  8 Cd 3.04-3.21, 4 Pb 3.33
Cd: 0.0000 0.0000 0.6867  8 Cd 3.04-3.21, 4 Pb 3.33
Cd: 0.5000 0.5000 0.1577  12 Cd 3.04-3.21
Cd: 0.5000 0.5000 0.8423  12 Cd 3.04-3.21
Pb: 0.5000 0.5000 0.5000  4 Pb 3.21, 8 Cd 3.33

* D(E_F): 1.9 states/eV/f.u.
* symmetry: No. 123
* total magnetization: 0.00 μB per formula unit

***

Run x
A plane-wave DFT calculation with SCAN was carried out for a PBEsol-optimized structure of Cd5Pb.

Cell: 5.7001 5.7001 4.8634 Å, 90.00 90.00 120.00°
Last column: nearest neighbours and their distance in Å.
Fractional positions:
Cd: 0.0000 0.3735 0.0000  8 Cd 3.02-3.11, 2 Pb 3.23
Cd: 0.3333 0.6667 0.5000  9 Cd 3.02-3.29, 3 Pb 3.29
Cd: 0.3735 0.0000 0.0000  8 Cd 3.02-3.11, 2 Pb 3.23
Cd: 0.6265 0.6265 0.0000  8 Cd 3.02-3.11, 2 Pb 3.23
Cd: 0.6667 0.3333 0.5000  9 Cd 3.02-3.29, 3 Pb 3.29
Pb: 0.0000 0.0000 0.5000  12 Cd 3.23-3.29

* D(E_F): 2.1 states/eV/f.u.
* symmetry: No. 189
* total magnetization: 0.00 μB per formula unit

***

Run y
A plane-wave DFT calculation with SCAN was carried out for a PBEsol-optimized structure of Cd5Pb.

Cell: 5.3594 8.5138 8.5138 Å, 20.57 90.00 90.00°
Last column: nearest neighbours and their distance in Å.
Fractional positions:
Cd: 0.0000 0.0000 0.0000  8 Cd 3.04-3.35, 4 Pb 3.22
Cd: 0.0000 0.3218 0.3218  10 Cd 3.04-3.35, 2 Pb 3.38
Cd: 0.0000 0.6595 0.6595  12 Cd 3.04-3.29
Cd: 0.5000 0.1190 0.1190  10 Cd 2.99-3.34, 2 Pb 3.30
Cd: 0.5000 0.7729 0.7729  10 Cd 2.99-3.29, 2 Pb 3.25
Pb: 0.5000 0.4444 0.4444  2 Pb 3.04, 10 Cd 3.22-3.38

* D(E_F): 1.9 states/eV/f.u.
* symmetry: No. 38
* total magnetization: 0.00 μB per formula unit

***

What should be chosen as the least stable of them? Choose run y.

***

Run w
A plane-wave DFT calculation with SCAN was carried out for a PBEsol-optimized structure of Cd5Pb.

Cell: 7.1009 7.1009 4.4970 Å, 90.00 90.00 143.24°
Last column: nearest neighbours and their distance in Å.
Fractional positions:
Cd: 0.0000 0.0000 0.0000  4 Pb 3.17, 8 Cd 3.23-3.24
Cd: 0.1732 0.8268 0.5000  10 Cd 3.05-3.24, 2 Pb 3.23
Cd: 0.3276 0.6724 0.0000  10 Cd 3.06-3.23, 2 Pb 3.23
Cd: 0.6724 0.3276 0.0000  10 Cd 3.06-3.23, 2 Pb 3.23
Cd: 0.8268 0.1732 0.5000  10 Cd 3.05-3.24, 2 Pb 3.23
Pb: 0.5000 0.5000 0.5000  12 Cd 3.17-3.23

* D(E_F): 2.3 states/eV/f.u.
* symmetry: No. 65
* total magnetization: 0.00 μB per formula unit

***

Run x
A plane-wave DFT calculation with SCAN was carried out for a PBEsol-optimized structure of Cd5Pb.

Cell: 6.0257 6.0257 7.5890 Å, 108.35 108.35 31.50°
Last column: nearest neighbours and their distance in Å.
Fractional positions:
Cd: 0.0000 0.0000 0.0000  10 Cd 3.06-3.27
Cd: 0.0353 0.0353 0.6175  10 Cd 2.97-3.27, 2 Pb 3.21
Cd: 0.3201 0.3201 0.6757  11 Cd 3.04-3.27, 1 Pb 3.25
Cd: 0.6390 0.6390 0.3487  8 Cd 3.08-3.27, 3 Pb 3.11-3.24
Cd: 0.7076 0.7076 0.9155  9 Cd 2.97-3.27, 2 Pb 3.14
Pb: 0.3582 0.3582 0.2700  10 Cd 3.11-3.43, 2 Pb 3.27

* D(E_F): 2.1 states/eV/f.u.
* symmetry: No. 8
* total magnetization: 0.00 μB per formula unit

***

What should be chosen as the least stable of them? Choose run x.

***

Run w
A plane-wave DFT calculation with SCAN was carried out for a PBEsol-optimized structure of Cd5Pb3.

Cell: 9.2131 9.2131 5.5720 Å, 90.00 90.00 120.00°
Last column: nearest neighbours and their distance in Å.
Fractional positions:
Cd: 0.0000 0.1950 0.2500  6 Cd 3.11-3.32, 4 Pb 3.14-3.33
Cd: 0.0000 0.8050 0.7500  6 Cd 3.11-3.32, 4 Pb 3.14-3.33
Cd: 0.1950 0.0000 0.2500  6 Cd 3.11-3.32, 4 Pb 3.14-3.33
Cd: 0.1950 0.1950 0.7500  6 Cd 3.11-3.32, 4 Pb 3.14-3.33
Cd: 0.3333 0.6667 0.0000  2 Cd 2.79
Cd: 0.3333 0.6667 0.5000  2 Cd 2.79
Cd: 0.6667 0.3333 0.0000  2 Cd 2.79
Cd: 0.6667 0.3333 0.5000  2 Cd 2.79
Cd: 0.8050 0.0000 0.7500  6 Cd 3.11-3.32, 4 Pb 3.14-3.33
Cd: 0.8050 0.8050 0.2500  6 Cd 3.11-3.32, 4 Pb 3.14-3.33
Pb: 0.0000 0.3936 0.7500  8 Cd 3.14-3.33, 2 Pb 3.41
Pb: 0.0000 0.6064 0.2500  8 Cd 3.14-3.33, 2 Pb 3.41
Pb: 0.3936 0.0000 0.7500  8 Cd 3.14-3.33, 2 Pb 3.41
Pb: 0.3936 0.3936 0.2500  8 Cd 3.14-3.33, 2 Pb 3.41
Pb: 0.6064 0.0000 0.2500  8 Cd 3.14-3.33, 2 Pb 3.41
Pb: 0.6064 0.6064 0.7500  8 Cd 3.14-3.33, 2 Pb 3.41

* D(E_F): 3.7 states/eV/f.u.
* symmetry: No. 193
* total magnetization: 0.00 μB per formula unit

***

Run x
A plane-wave DFT calculation with SCAN was carried out for a PBEsol-optimized structure of Cd5Pb3.

Cell: 6.4879 6.4879 4.6714 Å, 90.00 90.00 90.12°
Last column: nearest neighbours and their distance in Å.
Fractional positions:
Cd: 0.0000 0.0000 0.0000  4 Pb 3.20, 8 Cd 3.24-3.27
Cd: 0.0000 0.5000 0.0000  6 Cd 3.24-3.27, 6 Pb 3.24-3.28
Cd: 0.2488 0.7512 0.5000  6 Pb 3.16-3.33, 6 Cd 3.27
Cd: 0.5000 0.0000 0.0000  6 Cd 3.24-3.27, 6 Pb 3.24-3.28
Cd: 0.7512 0.2488 0.5000  6 Pb 3.16-3.33, 6 Cd 3.27
Pb: 0.2387 0.2387 0.5000  10 Cd 3.16-3.33, 2 Pb 3.35
Pb: 0.5000 0.5000 0.0000  8 Cd 3.24-3.28, 4 Pb 3.35
Pb: 0.7613 0.7613 0.5000  10 Cd 3.16-3.33, 2 Pb 3.35

* D(E_F): 2.7 states/eV/f.u.
* symmetry: No. 65
* total magnetization: 0.00 μB per formula unit

***

What should be chosen as the least stable of them? Choose run w.

***

Run w
A plane-wave DFT calculation with SCAN was carried out for a PBEsol-optimized structure of RbCd2Pb2.

Cell: 7.2437 7.2437 7.2437 Å, 139.96 139.96 57.91°
Last column: nearest neighbours and their distance in Å.
Fractional positions:
Rb: 0.0000 0.0000 0.0000  8 Pb 3.82, 8 Cd 4.02
Cd: 0.2500 0.7500 0.5000  4 Pb 2.98
Cd: 0.7500 0.2500 0.5000  4 Pb 2.98
Pb: 0.3804 0.3804 0.0000  4 Cd 2.98, 1 Pb 3.03
Pb: 0.6196 0.6196 0.0000  4 Cd 2.98, 1 Pb 3.03

* D(E_F): 1.3 states/eV/f.u.
* symmetry: No. 139
* total magnetization: 0.00 μB per formula unit

***

Run x
A plane-wave DFT calculation with SCAN was carried out for a PBEsol-optimized structure of RbCd2Pb2.

Cell: 9.3063 9.3063 3.3843 Å, 90.00 90.00 90.00°
Last column: nearest neighbours and their distance in Å.
Fractional positions:
Rb: 0.0000 0.0000 0.0000  2 Rb 3.38, 4 Pb 3.61
Rb: 0.5000 0.5000 0.0000  2 Rb 3.38, 4 Pb 3.61
Cd: 0.1547 0.3453 0.5000  6 Pb 3.20-3.23, 2 Cd 3.38
Cd: 0.3453 0.8453 0.5000  6 Pb 3.20-3.23, 2 Cd 3.38
Cd: 0.6547 0.1547 0.5000  6 Pb 3.20-3.23, 2 Cd 3.38
Cd: 0.8453 0.6547 0.5000  6 Pb 3.20-3.23, 2 Cd 3.38
Pb: 0.1365 0.6365 0.0000  6 Cd 3.20-3.23, 2 Pb 3.38
Pb: 0.3635 0.1365 0.0000  6 Cd 3.20-3.23, 2 Pb 3.38
Pb: 0.6365 0.8635 0.0000  6 Cd 3.20-3.23, 2 Pb 3.38
Pb: 0.8635 0.3635 0.0000  6 Cd 3.20-3.23, 2 Pb 3.38

* D(E_F): 2.0 states/eV/f.u.
* symmetry: No. 127
* total magnetization: 0.00 μB per formula unit

***

What should be chosen as the least stable of them? Choose run x.

***

Run w
A plane-wave DFT calculation with SCAN was carried out for a PBEsol-optimized structure of Cd2Rh2Pb.

Cell: 6.8291 6.8291 3.9922 Å, 90.00 90.00 90.00°
Last column: nearest neighbours and their distance in Å.
Fractional positions:
Cd: 0.1535 0.3465 0.0000  6 Rh 2.81-2.84, 1 Cd 2.97
Cd: 0.3465 0.8465 0.0000  6 Rh 2.81-2.84, 1 Cd 2.97
Cd: 0.6535 0.1535 0.0000  6 Rh 2.81-2.84, 1 Cd 2.97
Cd: 0.8465 0.6535 0.0000  6 Rh 2.81-2.84, 1 Cd 2.97
Rh: 0.1420 0.6420 0.5000  2 Pb 2.63, 1 Rh 2.74, 6 Cd 2.81-2.84
Rh: 0.3580 0.1420 0.5000  2 Pb 2.63, 1 Rh 2.74, 6 Cd 2.81-2.84
Rh: 0.6420 0.8580 0.5000  2 Pb 2.63, 1 Rh 2.74, 6 Cd 2.81-2.84
Rh: 0.8580 0.3580 0.5000  2 Pb 2.63, 1 Rh 2.74, 6 Cd 2.81-2.84
Pb: 0.0000 0.0000 0.5000  4 Rh 2.63
Pb: 0.5000 0.5000 0.5000  4 Rh 2.63

* D(E_F): 2.9 states/eV/f.u.
* symmetry: No. 127
* total magnetization: 0.00 μB per formula unit

***

Run x
A plane-wave DFT calculation with SCAN was carried out for a PBEsol-optimized structure of Cd2Rh2Pb.

Cell: 6.8667 6.8667 6.8667 Å, 146.75 146.75 47.73°
Last column: nearest neighbours and their distance in Å.
Fractional positions:
Cd: 0.2500 0.7500 0.5000  4 Rh 2.72, 4 Cd 2.78
Cd: 0.7500 0.2500 0.5000  4 Rh 2.72, 4 Cd 2.78
Rh: 0.0997 0.0997 0.0000  1 Rh 2.50, 4 Cd 2.72
Rh: 0.9003 0.9003 0.0000  1 Rh 2.50, 4 Cd 2.72
Pb: 0.5000 0.5000 0.0000  8 Rh 3.05

* D(E_F): 3.0 states/eV/f.u.
* symmetry: No. 139
* total magnetization: 0.00 μB per formula unit

***

What should be chosen as the least stable of them? Choose run x.

***

Run w
A plane-wave DFT calculation with SCAN was carried out for a PBEsol-optimized structure of CdSiPb.

Cell: 6.1603 6.1603 6.1603 Å, 150.44 143.70 47.49°
Last column: nearest neighbours and their distance in Å.
Fractional positions:
Cd: 0.0000 0.0000 0.0000  4 Si 2.86, 2 Cd 3.14
Si: 0.3732 0.3732 0.0000  4 Cd 2.86, 2 Si 3.14, 4 Pb 3.15
Pb: 0.7008 0.7008 0.0000  2 Pb 3.14, 4 Si 3.15, 5 Cd 3.36-3.37

* D(E_F): 1.3 states/eV/f.u.
* symmetry: No. 44
* total magnetization: 0.00 μB per formula unit

***

Run x
A plane-wave DFT calculation with SCAN was carried out for a PBEsol-optimized structure of CdSiPb.

Cell: 4.8333 4.8333 4.8333 Å, 60.00 60.00 60.00°
Last column: nearest neighbours and their distance in Å.
Fractional positions:
Cd: 0.0000 0.0000 0.0000  4 Pb 2.96
Si: 0.5000 0.5000 0.5000  4 Pb 2.96
Pb: 0.7500 0.7500 0.7500  4 Si 2.96, 4 Cd 2.96

* D(E_F): 0.8 states/eV/f.u.
* symmetry: No. 216
* total magnetization: 0.00 μB per formula unit

***

What should be chosen as the least stable of them? Choose run x.